(1)
Here is AcPaAsO after structural relaxation from OQMD. Energies are from PBE-GGA.

The calculation puts the energy above the most stable polymorph in this dataset at 0 meV per atom. The total magnetization is 1.0 μB/cell.

Unit cell a=4.3445 b=4.3445 c=10.0977 alpha=90.00 beta=90.00 gamma=90.00
Sites, in units of the cell vectors:
1 Ac 0.2500 0.2500 0.1206
2 Ac 0.7500 0.7500 0.8794
3 Pa 0.2500 0.7500 0.5000
4 Pa 0.7500 0.2500 0.5000
5 As 0.2500 0.2500 0.7045
6 As 0.7500 0.7500 0.2955
7 O 0.2500 0.7500 0.0000
8 O 0.7500 0.2500 0.0000


(2)
Here is FeCo after structural relaxation from OQMD. Energies are from PBE-GGA.

The calculation puts the energy at -25.700 eV for the cell shown. The total magnetization is 0.0 μB/cell.

Unit cell a=3.4277 b=3.4277 c=5.6079 alpha=90.00 beta=90.00 gamma=120.00
Sites, in units of the cell vectors:
1 Fe 0.3333 0.6667 0.0000
2 Fe 0.6667 0.3333 0.5000
3 Co 0.3333 0.6667 0.6241
4 Co 0.6667 0.3333 0.1241


(3)
Here is LiScZnAs after structural relaxation from OQMD. Energies are from PBE-GGA.

The calculation puts the energy above the most stable polymorph in this dataset at 0 meV per atom. The total magnetization is 0.0 μB/cell.

Unit cell a=4.5878 b=4.5878 c=4.5878 alpha=60.00 beta=60.00 gamma=60.00
Sites, in units of the cell vectors:
1 Li 0.0000 0.0000 0.0000
2 Sc 0.5000 0.5000 0.5000
3 Zn 0.2500 0.2500 0.2500
4 As 0.7500 0.7500 0.7500


(4)
Here is PrAlPd after structural relaxation from OQMD. Energies are from PBE-GGA.

The calculation puts the energy at -46.598 eV for the cell shown. The total magnetization is 0.0 μB/cell.

Unit cell a=7.0578 b=7.0578 c=4.4605 alpha=90.00 beta=90.00 gamma=120.00
Sites, in units of the cell vectors:
1 Pr 0.0000 0.5633 0.0000
2 Pr 0.4367 0.4367 0.0000
3 Pr 0.5633 0.0000 0.0000
4 Al 0.0000 0.0000 0.0000
5 Al 0.3333 0.6667 0.5000
6 Al 0.6667 0.3333 0.5000
7 Pd 0.0000 0.2394 0.5000
8 Pd 0.2394 0.0000 0.5000
9 Pd 0.7606 0.7606 0.5000


(5)
Here is RbCuSi after structural relaxation from OQMD. Energies are from PBE-GGA.

The calculation puts the energy above the most stable polymorph in this dataset at 0 meV per atom.

Unit cell a=4.8791 b=4.8791 c=4.8791 alpha=60.00 beta=60.00 gamma=60.00
Sites, in units of the cell vectors:
1 Rb 0.0000 0.0000 0.0000
2 Cu 0.2500 0.2500 0.2500
3 Si 0.5000 0.5000 0.5000


(6)
Here is DyTmSi4Ir2 after structural relaxation from OQMD. Energies are from PBE-GGA.

The calculation puts the energy at -47.549 eV for the cell shown. The total magnetization is 0.0 μB/cell.

Unit cell a=2.9594 b=14.3647 c=14.3647 alpha=15.79 beta=90.00 gamma=90.00
Sites, in units of the cell vectors:
1 Dy 0.0000 0.0000 0.0000
2 Tm 0.0000 0.3070 0.3070
3 Si 0.0000 0.1117 0.1117
4 Si 0.0000 0.1967 0.1967
5 Si 0.0000 0.4257 0.4257
6 Si 0.0000 0.8801 0.8801
7 Ir 0.0000 0.5714 0.5714
8 Ir 0.0000 0.7372 0.7372


(7)
Here is Sm3Tm2Tl3 after structural relaxation from OQMD. Energies are from PBE-GGA.

The calculation puts the energy at -65.303 eV for the cell shown. The total magnetization is 0.0 μB/cell.

Unit cell a=9.1009 b=9.1009 c=6.5970 alpha=90.00 beta=90.00 gamma=120.00
Sites, in units of the cell vectors:
1 Sm 0.0000 0.2379 0.2500
2 Sm 0.0000 0.7621 0.7500
3 Sm 0.2379 0.0000 0.2500
4 Sm 0.2379 0.2379 0.7500
5 Sm 0.7621 0.0000 0.7500
6 Sm 0.7621 0.7621 0.2500
7 Tm 0.3333 0.6667 0.0000
8 Tm 0.3333 0.6667 0.5000
9 Tm 0.6667 0.3333 0.0000
10 Tm 0.6667 0.3333 0.5000
11 Tl 0.0000 0.4062 0.7500
12 Tl 0.0000 0.5938 0.2500
13 Tl 0.4062 0.0000 0.7500
14 Tl 0.4062 0.4062 0.2500
15 Tl 0.5938 0.0000 0.2500
16 Tl 0.5938 0.5938 0.7500


(8)
Here is Y2TmMg3AgHg2 after structural relaxation from OQMD. Energies are from PBE-GGA.

The calculation puts the energy at -28.894 eV for the cell shown. The total magnetization is 0.0 μB/cell.

Unit cell a=4.1514 b=7.7459 c=7.7459 alpha=119.83 beta=90.00 gamma=90.00
Sites, in units of the cell vectors:
1 Y 0.0000 0.2049 0.7951
2 Y 0.0000 0.7951 0.2049
3 Tm 0.0000 0.3858 0.3858
4 Mg 0.5000 0.0406 0.0406
5 Mg 0.5000 0.5486 0.7940
6 Mg 0.5000 0.7940 0.5486
7 Ag 0.0000 0.7918 0.7918
8 Hg 0.5000 0.1310 0.4602
9 Hg 0.5000 0.4602 0.1310